# PBE LaDy4As5, relaxed
data_LaDy4As5
_space_group_name_H-M_alt 'C 1 2/m 1'
_space_group_IT_number 12
_space_group_name_Hall '-C 2y'
_cell_length_a 13.824
_cell_length_b 4.174
_cell_length_c 10.224
_cell_angle_alpha 90.00
_cell_angle_beta 119.49
_cell_angle_gamma 90.00
loop_
_atom_site_label
_atom_site_fract_x
_atom_site_fract_y
_atom_site_fract_z
La1 0.000 0.000 0.000
Dy1 0.098 0.500 0.400
Dy2 0.201 0.000 0.796
As1 0.000 0.000 0.500
As2 0.105 0.500 0.896
As3 0.203 0.000 0.308
# - Final energy: -0.455 Ry/atom
# - Energy of formation from the pure elements: -1.53 eV/atom
# - Crystal system: monoclinic



# PBE La2DyAs, relaxed
data_La2DyAs
_space_group_name_H-M_alt 'R 3 m'
_space_group_IT_number 160
_space_group_name_Hall 'R 3 -2"'
_cell_length_a 4.0588
_cell_length_b 4.0588
_cell_length_c 28.8280
_cell_angle_alpha 90.00
_cell_angle_beta 90.00
_cell_angle_gamma 120.00
loop_
_atom_site_label
_atom_site_fract_x
_atom_site_fract_y
_atom_site_fract_z
La1 0.0000 0.0000 0.0000
La2 0.0000 0.0000 0.2053
Dy1 0.0000 0.0000 0.7701
As1 0.0000 0.0000 0.6028
# - Final energy: -0.394 Ry/atom
# - Energy of formation from the pure elements: -0.59 eV/atom
# - Crystal system: trigonal